1.
Computed, not measured: crystalline SmBe2AlAu4 at its relaxed geometry at the PBE level of DFT.

## Properties
Formation energy = -342 meV/atom
Spin magnetization = 0.0 μB/cell

The structure in CIF format:
```
data_SmBe2AlAu4
_cell_length_a 4.2322
_cell_length_b 4.2322
_cell_length_c 27.2545
_cell_angle_alpha 90.00
_cell_angle_beta 90.00
_cell_angle_gamma 120.00
_space_group_name_H-M_alt 'R -3 m'
_space_group_IT_number 166
_space_group_name_Hall '-R 3 2"'
loop_
_atom_site_label
_atom_site_fract_x
_atom_site_fract_y
_atom_site_fract_z
Sm1 0.0000 0.0000 0.0000
Be1 0.0000 0.0000 0.2433
Al1 0.0000 0.0000 0.5000
Au1 0.0000 0.0000 0.1290
Au2 0.0000 0.0000 0.4014
```

=====

2.
Computed, not measured: crystalline YHgS3 at its relaxed geometry at the PBE level of DFT.

## Properties
E above lowest polymorph = 0.000 eV per atom
Formation energy (no corrections) = -884 meV per atom
Spin magnetization = 0.7 μB/cell

The structure in CIF format:
```
data_YHgS3
_cell_length_a 4.3748
_cell_length_b 17.1911
_cell_length_c 6.4703
_cell_angle_alpha 90.00
_cell_angle_beta 90.00
_cell_angle_gamma 90.00
_space_group_name_H-M_alt 'C m c m'
_space_group_IT_number 63
_space_group_name_Hall '-C 2c 2'
loop_
_atom_site_label
_atom_site_fract_x
_atom_site_fract_y
_atom_site_fract_z
Y1 0.0000 0.1970 0.2500
Hg1 0.0000 0.4514 0.2500
S1 0.0000 0.0236 0.2500
S2 0.0000 0.3302 0.0016
```

=====

3.
Computed, not measured: crystalline Na8GePb2 at its relaxed geometry at the PBE level of DFT.

## Properties
Formation energy = -87 meV/atom
Spin magnetization = 0.0 μB/cell

The structure in CIF format:
```
data_Na8GePb2
_cell_length_a 9.8611
_cell_length_b 12.6637
_cell_length_c 5.2463
_cell_angle_alpha 90.00
_cell_angle_beta 90.00
_cell_angle_gamma 90.00
_space_group_name_H-M_alt 'C m m m'
_space_group_IT_number 65
_space_group_name_Hall '-C 2 2'
loop_
_atom_site_label
_atom_site_fract_x
_atom_site_fract_y
_atom_site_fract_z
Na1 0.0000 0.2383 0.0000
Na2 0.1634 0.1266 0.5000
Na3 0.1785 0.5000 0.0000
Ge1 0.0000 0.0000 0.0000
Pb1 0.0000 0.3809 0.5000
```

=====

4.
Computed, not measured: crystalline LaRhSe2 at its relaxed geometry at the PBE level of DFT.

## Properties
E above lowest polymorph = 0.228 eV per atom
Formation energy (no corrections) = -912 meV per atom
Spin magnetization = 0.0 μB/cell

The structure in CIF format:
```
data_LaRhSe2
_cell_length_a 3.8007
_cell_length_b 4.6466
_cell_length_c 9.9880
_cell_angle_alpha 90.00
_cell_angle_beta 90.00
_cell_angle_gamma 90.00
_space_group_name_H-M_alt 'I m m 2'
_space_group_IT_number 44
_space_group_name_Hall 'I 2 -2'
loop_
_atom_site_label
_atom_site_fract_x
_atom_site_fract_y
_atom_site_fract_z
La1 0.0000 0.0000 0.0000
Rh1 0.0000 0.5000 0.2057
Se1 0.0000 0.0000 0.5441
Se2 0.0000 0.5000 0.7610
```

=====

Per-record volume, Å³/atom: 17.62; 24.33; 29.78; 22.05
Per-record total DFT energy (no corrections), eV/cell: -95.27; -94.28; -47.08; -45.79